Entry 1:
# SrY2ZrTa

SrY2ZrTa after structural relaxation (GGA-PBE, Alexandria via LeMat-Bulk).

Computed properties:
The spin magnetization comes out at 1.51 Bohr magnetons per cell. The crystal system is tetragonal. The energy of formation from the pure elements is 110.4 kJ per mole of atoms.

```
SrY2ZrTa
1.0
5.470 0.000 0.000
0.000 5.470 0.000
0.000 0.000 5.749
Sr Y Zr Ta
1 2 1 1
Direct
0.000 0.000 0.000 Sr
0.000 0.500 0.500 Y
0.500 0.000 0.500 Y
0.500 0.500 0.000 Zr
0.000 0.000 0.500 Ta
```

***

Entry 2:
# PdAuI4

PdAuI4 after structural relaxation (GGA-PBE, Alexandria via LeMat-Bulk).

Computed properties:
The spin magnetization comes out at 0.00 Bohr magnetons per cell. The uncorrected formation energy is -0.084 eV/atom. The crystal system is monoclinic.

```
PdAuI4
1.0
7.225 0.000 0.000
0.000 4.807 0.000
-5.311 0.000 12.800
Pd Au I
2 2 8
Direct
0.000 0.000 0.000 Pd
0.000 0.500 0.500 Pd
0.500 0.000 0.500 Au
0.500 0.500 0.000 Au
0.205 0.130 0.884 I
0.205 0.370 0.384 I
0.284 0.665 0.122 I
0.284 0.835 0.622 I
0.716 0.165 0.378 I
0.716 0.335 0.878 I
0.795 0.630 0.616 I
0.795 0.870 0.116 I
```

***

Entry 3:
# LaZn2Cu

LaZn2Cu after structural relaxation (GGA-PBE, Alexandria via LeMat-Bulk).

Computed properties:
The spin magnetization comes out at 0.00 Bohr magnetons per cell. The crystal system is monoclinic. The energy of formation from the pure elements is -24.2 kJ per mole of atoms.

```
LaZn2Cu
1.0
3.762 -2.175 0.000
3.762 2.175 0.000
-2.476 0.000 5.032
La Zn Cu
1 2 1
Direct
0.000 0.000 0.000 La
0.205 0.205 0.613 Zn
0.483 0.483 0.448 Zn
0.801 0.801 0.400 Cu
```

***

Entry 4:
# Mn2TlIn

Mn2TlIn after structural relaxation (GGA-PBE, Alexandria via LeMat-Bulk).

Computed properties:
The spin magnetization comes out at 6.49 Bohr magnetons per cell. The crystal system is tetragonal. The energy of formation from the pure elements is 38.8 kJ per mole of atoms.

```
Mn2TlIn
1.0
-2.008 2.008 4.617
2.008 -2.008 4.617
2.008 2.008 -4.617
Mn Tl In
2 1 1
Direct
0.000 0.000 0.000 Mn
0.750 0.250 0.500 Mn
0.250 0.750 0.500 Tl
0.500 0.500 0.000 In
```